! PrHo2C GGA-PBE optimized geometry; values from VASP
&SYSTEM
  ibrav = 0, nat = 4, ntyp = 3
/
ATOMIC_SPECIES
Pr 140.91 Pr.upf
Ho 164.93 Ho.upf
C 12.01 C.upf
ATOMIC_POSITIONS crystal
Pr 0.0000 0.0000 0.0000
Ho 0.5466 0.5466 0.5466
Ho 0.7836 0.7836 0.7836
C 0.1648 0.1648 0.1648
CELL_PARAMETERS angstrom
1.7921 1.0346 9.2945
-1.7921 1.0346 9.2945
0.0000 -2.0693 9.2945
! DFT formation energy	-0.192	eV per atom
! excess energy over the best structure of this formula in the dataset	0.00	eV per formula unit
! space group	R3m